# Al2OsPb

A relaxed structure of Al2OsPb (PBE-GGA, the Alexandria database).

Summary:
E_form ... 0.3789 eV per atom

abc: 5.3906 5.3906 5.3906
angles: 144.82 122.10 69.59
Fractional coordinates of all 4 atoms:
Pb (0.2500, 0.7500, 0.5000)
Os (0.7500, 0.2500, 0.5000)
Al (0.9697, 0.9697, 0.0000)
Al (0.5303, 0.5303, 0.0000)

***

# TbErAu2O8

A relaxed structure of TbErAu2O8 (PBE-GGA, the Alexandria database).

Summary:
Raw formation energy ... -1.114 eV per atom

abc: 5.3063 5.3063 6.4691
angles: 114.21 114.21 90.00
Fractional coordinates of all 12 atoms:
Tb (0.7500, 0.2500, 0.5000)
Er (0.0000, 0.0000, 0.0000)
Au (0.5000, 0.5000, 0.0000)
Au (0.2500, 0.7500, 0.5000)
O (0.8767, 0.8579, 0.2480)
O (0.3713, 0.3901, 0.2480)
O (0.6099, 0.6286, 0.7521)
O (0.1421, 0.1234, 0.7521)
O (0.8766, 0.3901, 0.2479)
O (0.3714, 0.8579, 0.2479)
O (0.1421, 0.6287, 0.7520)
O (0.6099, 0.1233, 0.7520)

***

# Cs2LaPa3O12

A relaxed structure of Cs2LaPa3O12 (PBE-GGA, the Alexandria database).

Summary:
Raw formation energy ... -2.709 eV per atom

abc: 8.2131 8.2131 8.2131
angles: 60.63 60.63 60.63
Site moments in Bohr magnetons follow the coordinates.
Fractional coordinates of all 18 atoms:
Cs (0.6196, 0.6196, 0.6196)  0.00
Cs (0.3804, 0.3804, 0.3804)  0.00
La (0.0000, 0.0000, 0.0000)  0.04
Pa (0.5000, 0.0000, 0.0000)  0.15
Pa (0.0000, 0.5000, 0.0000)  0.15
Pa (0.0000, 0.0000, 0.5000)  0.15
O (0.3077, 0.3077, 0.9278)  0.24
O (0.9274, 0.9274, 0.3439)  0.27
O (0.3439, 0.9274, 0.9274)  0.27
O (0.9278, 0.3077, 0.3077)  0.24
O (0.9274, 0.3439, 0.9274)  0.27
O (0.3077, 0.9278, 0.3077)  0.24
O (0.6923, 0.6923, 0.0722)  0.24
O (0.0726, 0.0726, 0.6561)  0.27
O (0.6561, 0.0726, 0.0726)  0.27
O (0.0722, 0.6923, 0.6923)  0.24
O (0.0726, 0.6561, 0.0726)  0.27
O (0.6923, 0.0722, 0.6923)  0.24

***

# LiRhSCl2

A relaxed structure of LiRhSCl2 (PBE-GGA, the Alexandria database).

Summary:
Excess energy over the best structure of this formula in the dataset ... 0 meV per atom
Raw formation energy ... -0.484 eV per atom

abc: 5.0679 5.0679 4.4125
angles: 90.00 90.00 90.00
Fractional coordinates of all 5 atoms:
S (0.0000, 0.0000, 0.5000)
Li (0.5000, 0.5000, 0.5000)
Rh (0.0000, 0.0000, 0.0000)
Cl (0.0000, 0.5000, 0.0000)
Cl (0.5000, 0.0000, 0.0000)

***

# Pa2Be4Ge3Rh

A relaxed structure of Pa2Be4Ge3Rh (PBE-GGA, the Alexandria database).

Summary:
E_form ... -0.3559 eV per atom

abc: 3.9950 3.9950 9.4642
angles: 90.00 90.00 90.00
Fractional coordinates of all 10 atoms:
Pa (0.5000, 0.0000, 0.2540)
Pa (0.0000, 0.5000, 0.7460)
Be (0.5000, 0.5000, 0.0000)
Be (0.0000, 0.0000, 0.0000)
Be (0.5000, 0.0000, 0.6276)
Be (0.0000, 0.5000, 0.3724)
Ge (0.0000, 0.0000, 0.5000)
Ge (0.5000, 0.0000, 0.8681)
Ge (0.0000, 0.5000, 0.1319)
Rh (0.5000, 0.5000, 0.5000)

***

# Y3UTl3S8

A relaxed structure of Y3UTl3S8 (PBE-GGA, the Alexandria database).

Summary:
Raw formation energy ... -1.467 eV per atom

abc: 8.0345 8.0332 8.8895
angles: 116.87 90.00 120.01
Site moments in Bohr magnetons follow the coordinates.
Fractional coordinates of all 15 atoms:
Y (0.5000, 0.0000, 0.5000)  0.02
Y (0.5000, 0.5000, 0.5000)  0.02
Y (0.0000, 0.5000, 0.5000)  0.02
U (0.0000, 0.0000, 0.5000)  1.95
Tl (0.0000, 0.0000, 0.0000)  0.00
Tl (0.0000, 0.5000, 0.0000)  0.00
Tl (0.5000, 0.5000, 0.0000)  0.00
S (0.2676, 0.5353, 0.3031)  0.00
S (0.7324, 0.4647, 0.6969)  0.00
S (0.7721, 0.5443, 0.3066)  -0.03
S (0.2279, 0.4557, 0.6934)  -0.03
S (0.7721, 0.0343, 0.3066)  -0.03
S (0.2279, 0.9657, 0.6934)  -0.03
S (0.2622, 0.0343, 0.3066)  -0.03
S (0.7378, 0.9657, 0.6934)  -0.03

***

Number 1: N(E_F) 0.51 states/eV/atom, density 9.96 g/cm3. Number 2: N(E_F) 0.57 states/eV/atom, density 9.49 g/cm3. Number 3: N(E_F) 0.68 states/eV/atom, density 5.39 g/cm3. Number 4: N(E_F) 0.82 states/eV/atom, density 3.12 g/cm3. Number 5: N(E_F) 0.80 states/eV/atom, density 9.00 g/cm3. Number 6: N(E_F) 0.40 states/eV/atom, density 5.39 g/cm3.